Compound: Ge4Sb
Source: the Alexandria database
Functional: PBE
Structure: optimized geometry

energy: -3.491 eV/atom
space group: Pm-3m (221)
energy relative to the elements, uncorrected: 1.03 eV/atom

Cell lengths 5.313, 5.313, 5.313 Å; angles 90.00, 90.00, 90.00 degrees
Element x y z (fractional)
Ge (0.000, 0.000, 0.000)
Ge (0.000, 0.500, 0.500)
Ge (0.500, 0.000, 0.500)
Ge (0.500, 0.500, 0.000)
Sb (0.500, 0.500, 0.500)

***

Compound: ScHgMo2
Source: the Alexandria database
Functional: PBE
Structure: optimized geometry

energy: -6.717 eV/atom
space group: Pmmm (47)
energy relative to the elements: 0.36 eV per atom

Cell lengths 2.817, 4.665, 5.667 Å; angles 90.00, 90.00, 90.00 degrees
Element x y z (fractional)
Sc (0.000, 0.000, 0.000)
Hg (0.000, 0.000, 0.500)
Mo (0.500, 0.500, 0.222)
Mo (0.500, 0.500, 0.778)

***

Compound: TcAgTe
Source: the Alexandria database
Functional: PBE
Structure: optimized geometry

energy: -5.035 eV/atom
space group: F-43m (216)
energy relative to the elements, uncorrected: 0.42 eV/atom
energy above the lowest structure with this stoichiometry: 69 meV/atom

Cell lengths 4.459, 4.459, 4.459 Å; angles 60.00, 60.00, 60.00 degrees
Element x y z (fractional)
Tc (0.000, 0.000, 0.000)
Ag (0.250, 0.250, 0.250)
Te (0.750, 0.750, 0.750)

***

Compound: Tl2AgAs
Source: the Alexandria database
Functional: PBE
Structure: optimized geometry

energy: -2.843 eV/atom
space group: R-3m (166)
energy relative to the elements: 0.22 eV per atom
energy above the lowest structure with this stoichiometry: 203 meV/atom

Cell lengths 8.246, 8.246, 8.246 Å; angles 27.09, 27.09, 27.09 degrees
Element x y z (fractional)
Tl (0.247, 0.247, 0.247)
Tl (0.753, 0.753, 0.753)
Ag (0.000, 0.000, 0.000)
As (0.500, 0.500, 0.500)

***

Compound: MnBeBi3
Source: the Alexandria database
Functional: PBE
Structure: optimized geometry

energy: -3.730 eV/atom
space group: Pm-3m (221)
energy relative to the elements: 1.18 eV per atom
energy above the lowest structure with this stoichiometry: 251 meV/atom

Cell lengths 5.040, 5.040, 5.040 Å; angles 90.00, 90.00, 90.00 degrees
Element x y z (fractional)
Mn (0.000, 0.000, 0.000)
Be (0.500, 0.500, 0.500)
Bi (0.000, 0.500, 0.500)
Bi (0.500, 0.000, 0.500)
Bi (0.500, 0.500, 0.000)

***

Compound: TaInN2F
Source: the Alexandria database
Functional: PBE
Structure: optimized geometry

energy: -7.302 eV/atom
space group: P4/mmm (123)
energy relative to the elements, uncorrected: -0.68 eV/atom
energy above the lowest structure with this stoichiometry: 0 meV/atom

Cell lengths 4.125, 4.125, 4.139 Å; angles 90.00, 90.00, 90.00 degrees
Element x y z (fractional)
Ta (0.000, 0.000, 0.000)
In (0.500, 0.500, 0.500)
N (0.000, 0.500, 0.000)
N (0.500, 0.000, 0.000)
F (0.000, 0.000, 0.500)

***

Compound: Ca2ZnMo
Source: the Alexandria database
Functional: PBE
Structure: optimized geometry

energy: -3.588 eV/atom
space group: Amm2 (38)
energy relative to the elements: 0.44 eV per atom

Cell lengths 4.605, 6.145, 6.145 Å; angles 36.27, 90.00, 90.00 degrees
Element x y z (fractional)
Ca (0.000, 0.000, 0.000)
Ca (0.500, 0.305, 0.305)
Zn (0.000, 0.707, 0.707)
Mo (0.500, 0.595, 0.595)

***

Compound: La4CeHg3
Source: the Alexandria database
Functional: PBE
Structure: optimized geometry

energy: -3.645 eV/atom
space group: Pmmm (47)
energy relative to the elements: -0.33 eV per atom

Cell lengths 3.707, 5.661, 11.474 Å; angles 90.00, 90.00, 90.00 degrees
Element x y z (fractional)
La (0.000, 0.000, 0.000)
La (0.000, 0.000, 0.500)
La (0.000, 0.500, 0.243)
La (0.000, 0.500, 0.757)
Ce (0.500, 0.500, 0.500)
Hg (0.500, 0.000, 0.257)
Hg (0.500, 0.000, 0.743)
Hg (0.500, 0.500, 0.000)

***

no.,volume (Å³/atom)
1,29.99
2,18.62
3,20.90
4,25.64
5,25.60
6,14.08
7,25.72
8,30.10